(1)
The following is a DFT calculation (PBE) of BeGe3Au after structural relaxation.

Values from the calculation:
The calculation puts the energy above the most stable polymorph in this dataset at 314 kJ/mol of formula units.

```
data_BeGe3Au
_cell_length_a 5.0246
_cell_length_b 5.0246
_cell_length_c 5.0246
_cell_angle_alpha 90.00
_cell_angle_beta 90.00
_cell_angle_gamma 90.00
_symmetry_space_group_name_H-M 'P 1'
_symmetry_Int_Tables_number 1
loop_
_symmetry_equiv_pos_as_xyz
'x,y,z'
loop_
_atom_site_label
_atom_site_fract_x
_atom_site_fract_y
_atom_site_fract_z
_atom_site_occupancy
Be1 0.0000 0.0000 0.0000 1
Ge1 0.0000 0.5000 0.5000 1
Ge2 0.5000 0.0000 0.5000 1
Ge3 0.5000 0.5000 0.0000 1
Au1 0.5000 0.5000 0.5000 1
```

(2)
The following is a DFT calculation (PBE) of BeGe2Au2 after structural relaxation.

Values from the calculation:
The calculation puts the energy above the most stable polymorph in this dataset at 16 kJ/mol of formula units.

```
data_BeGe2Au2
_cell_length_a 6.0493
_cell_length_b 6.0493
_cell_length_c 4.8774
_cell_angle_alpha 90.00
_cell_angle_beta 90.00
_cell_angle_gamma 90.00
_symmetry_space_group_name_H-M 'P 1'
_symmetry_Int_Tables_number 1
loop_
_symmetry_equiv_pos_as_xyz
'x,y,z'
loop_
_atom_site_label
_atom_site_fract_x
_atom_site_fract_y
_atom_site_fract_z
_atom_site_occupancy
Be1 0.0000 0.0000 0.0000 1
Be2 0.5000 0.5000 0.0000 1
Ge1 0.1463 0.3537 0.0000 1
Ge2 0.3537 0.8537 0.0000 1
Ge3 0.6463 0.1463 0.0000 1
Ge4 0.8537 0.6463 0.0000 1
Au1 0.2445 0.7445 0.5000 1
Au2 0.2555 0.2445 0.5000 1
Au3 0.7445 0.7555 0.5000 1
Au4 0.7555 0.2555 0.5000 1
```

(3)
The following is a DFT calculation (PBE) of BeGeAu2 after structural relaxation.

Values from the calculation:
The calculation puts the energy above the most stable polymorph in this dataset at 64 kJ/mol of formula units.

```
data_BeGeAu2
_cell_length_a 8.6780
_cell_length_b 8.6780
_cell_length_c 8.6780
_cell_angle_alpha 152.14
_cell_angle_beta 152.14
_cell_angle_gamma 39.81
_symmetry_space_group_name_H-M 'P 1'
_symmetry_Int_Tables_number 1
loop_
_symmetry_equiv_pos_as_xyz
'x,y,z'
loop_
_atom_site_label
_atom_site_fract_x
_atom_site_fract_y
_atom_site_fract_z
_atom_site_occupancy
Be1 0.0000 0.0000 0.0000 1
Be2 0.7500 0.2500 0.5000 1
Ge1 0.2500 0.7500 0.5000 1
Ge2 0.5000 0.5000 0.0000 1
Au1 0.1050 0.6250 0.9800 1
Au2 0.3750 0.3550 0.4800 1
Au3 0.6450 0.1250 0.0200 1
Au4 0.8750 0.8950 0.5200 1
```

(4)
The following is a DFT calculation (PBE) of BeInGeAu2 after structural relaxation.

```
data_BeInGeAu2
_cell_length_a 5.1924
_cell_length_b 5.1924
_cell_length_c 4.5324
_cell_angle_alpha 90.00
_cell_angle_beta 90.00
_cell_angle_gamma 90.00
_symmetry_space_group_name_H-M 'P 1'
_symmetry_Int_Tables_number 1
loop_
_symmetry_equiv_pos_as_xyz
'x,y,z'
loop_
_atom_site_label
_atom_site_fract_x
_atom_site_fract_y
_atom_site_fract_z
_atom_site_occupancy
Be1 0.0000 0.0000 0.0000 1
In1 0.0000 0.0000 0.5000 1
Ge1 0.5000 0.5000 0.0000 1
Au1 0.0000 0.5000 0.5000 1
Au2 0.5000 0.0000 0.5000 1
```

(5)
The following is a DFT calculation (PBE) of KBe2GeAu after structural relaxation.

```
data_KBe2GeAu
_cell_length_a 4.5802
_cell_length_b 4.5802
_cell_length_c 5.1501
_cell_angle_alpha 90.00
_cell_angle_beta 90.00
_cell_angle_gamma 90.00
_symmetry_space_group_name_H-M 'P 1'
_symmetry_Int_Tables_number 1
loop_
_symmetry_equiv_pos_as_xyz
'x,y,z'
loop_
_atom_site_label
_atom_site_fract_x
_atom_site_fract_y
_atom_site_fract_z
_atom_site_occupancy
K1 0.0000 0.0000 0.0000 1
Be1 0.0000 0.5000 0.5000 1
Be2 0.5000 0.0000 0.5000 1
Ge1 0.5000 0.5000 0.0000 1
Au1 0.5000 0.5000 0.5000 1
```

(6)
The following is a DFT calculation (PBE) of La2BeGe2Au4 after structural relaxation.

```
data_La2BeGe2Au4
_cell_length_a 6.5615
_cell_length_b 6.5615
_cell_length_c 6.5615
_cell_angle_alpha 122.08
_cell_angle_beta 122.08
_cell_angle_gamma 86.43
_symmetry_space_group_name_H-M 'P 1'
_symmetry_Int_Tables_number 1
loop_
_symmetry_equiv_pos_as_xyz
'x,y,z'
loop_
_atom_site_label
_atom_site_fract_x
_atom_site_fract_y
_atom_site_fract_z
_atom_site_occupancy
La1 0.2500 0.7500 0.5000 1
La2 0.7500 0.2500 0.5000 1
Be1 0.0000 0.0000 0.0000 1
Ge1 0.3154 0.3154 0.0000 1
Ge2 0.6846 0.6846 0.0000 1
Au1 0.2574 0.2574 0.5147 1
Au2 0.2574 0.7426 0.0000 1
Au3 0.7426 0.2574 0.0000 1
Au4 0.7426 0.7426 0.4853 1
```

(7)
The following is a DFT calculation (PBE) of La2Be3Ge4Au after structural relaxation.

```
data_La2Be3Ge4Au
_cell_length_a 4.2618
_cell_length_b 4.2618
_cell_length_c 9.9641
_cell_angle_alpha 90.00
_cell_angle_beta 90.00
_cell_angle_gamma 90.00
_symmetry_space_group_name_H-M 'P 1'
_symmetry_Int_Tables_number 1
loop_
_symmetry_equiv_pos_as_xyz
'x,y,z'
loop_
_atom_site_label
_atom_site_fract_x
_atom_site_fract_y
_atom_site_fract_z
_atom_site_occupancy
La1 0.0000 0.5000 0.2429 1
La2 0.5000 0.0000 0.7571 1
Be1 0.0000 0.5000 0.8804 1
Be2 0.5000 0.0000 0.1196 1
Be3 0.5000 0.5000 0.5000 1
Ge1 0.0000 0.0000 0.0000 1
Ge2 0.0000 0.5000 0.6474 1
Ge3 0.5000 0.0000 0.3526 1
Ge4 0.5000 0.5000 0.0000 1
Au1 0.0000 0.0000 0.5000 1
```

(8)
The following is a DFT calculation (PBE) of La2Be4Ge3Au after structural relaxation.

```
data_La2Be4Ge3Au
_cell_length_a 4.1424
_cell_length_b 4.1424
_cell_length_c 9.8915
_cell_angle_alpha 90.00
_cell_angle_beta 90.00
_cell_angle_gamma 90.00
_symmetry_space_group_name_H-M 'P 1'
_symmetry_Int_Tables_number 1
loop_
_symmetry_equiv_pos_as_xyz
'x,y,z'
loop_
_atom_site_label
_atom_site_fract_x
_atom_site_fract_y
_atom_site_fract_z
_atom_site_occupancy
La1 0.0000 0.5000 0.2417 1
La2 0.5000 0.0000 0.7583 1
Be1 0.0000 0.0000 0.0000 1
Be2 0.0000 0.5000 0.6306 1
Be3 0.5000 0.0000 0.3694 1
Be4 0.5000 0.5000 0.0000 1
Ge1 0.0000 0.5000 0.8725 1
Ge2 0.5000 0.0000 0.1275 1
Ge3 0.5000 0.5000 0.5000 1
Au1 0.0000 0.0000 0.5000 1
```

| no. | size of the total moment (μB/cell) | final energy (eV per atom) |
| --- | --- | --- |
| 1 | 0.0 | -3.0943 |
| 2 | 0.0 | -3.6412 |
| 3 | 0.0 | -3.5595 |
| 4 | 0.0 | -2.6654 |
| 5 | 0.0 | -2.8415 |
| 6 | 0.0 | -4.5233 |
| 7 | 0.0 | -4.7255 |
| 8 | 0.0 | -4.6456 |